Compound: TaInCuAg
Source: OQMD
Functional: PBE
Structure: optimized geometry

Properties
Its electronic total energy is -4.907 eV/atom. The calculation puts the distance to the lowest polymorph of the same formula at 0.000 eV/f.u. The calculation puts the total magnetization at 0.01 Bohr magnetons per cell.

Geometry as extended XYZ:
```
4
Lattice="0.000 3.259 3.259 3.259 0.000 3.259 3.259 3.259 0.000" Properties=species:S:1:pos:R:3 pbc="T T T"
Ta 0.000 0.000 0.000
In 3.259 3.259 3.259
Cu 4.889 4.889 4.889
Ag 1.630 1.630 1.630
```